Entry 1:
The following is a DFT calculation (PBE) of a geometry-optimized NaCBr2 structure.

Summary:
* offset from the most stable computed form: 0 meV/atom
* DOS at the Fermi energy: 0.025 states/eV/atom

a b c (Å): 5.831 5.831 7.881
angles (deg): 68.29 68.29 90.00
Fractional coordinates of all 8 atoms:
1 Na 0.000 0.000 0.000
2 Na 0.750 0.250 0.500
3 Br 0.536 0.125 0.250
4 Br 0.375 0.464 0.750
5 Br 0.875 0.786 0.750
6 Br 0.214 0.625 0.250
7 C 0.250 0.750 0.500
8 C 0.500 0.500 0.000

=====

Entry 2:
The following is a DFT calculation (PBE) of a geometry-optimized ScAg8Au2 structure.

Summary:
* formation energy from the elements: 0.090 eV per atom
* DOS at the Fermi energy: 0.374 states/eV/atom

a b c (Å): 4.884 7.370 7.370
angles (deg): 62.51 78.79 78.79
Fractional coordinates of all 11 atoms:
1 Ag 0.782 0.251 0.617
2 Ag 0.218 0.383 0.749
3 Ag 0.319 0.355 0.355
4 Ag 0.782 0.617 0.251
5 Ag 0.681 0.645 0.645
6 Ag 0.218 0.749 0.383
7 Ag 0.115 0.767 0.767
8 Ag 0.885 0.233 0.233
9 Sc 0.000 0.000 0.000
10 Au 0.451 0.121 0.121
11 Au 0.549 0.879 0.879